The following is a PBE+U calculation of CoAs3O after structural relaxation, from the Alexandria database.

```
5
Lattice="4.2770 0.0000 0.0000 0.0000 4.2770 0.0000 0.0000 0.0000 4.2770" Properties=species:S:1:pos:R:3 pbc="T T T"
Co 0.0000 0.0000 0.0000
As 0.0000 2.1385 2.1385
As 2.1385 0.0000 2.1385
As 2.1385 2.1385 0.0000
O 2.1385 2.1385 2.1385
```

Calculated values
Its spin magnetization is 0.000 μB per atom. The calculation puts the density of states at the Fermi level at 0.273 states/eV/atom. The value obtained for the energy above the most stable polymorph in this dataset is 0.000 eV/f.u. As for the crystal system: cubic.